First-principles (GGA-PBE) data for crystalline ZrTl2AgGe at its relaxed geometry, as listed in the Alexandria database.

a = 5.5985 Å, b = 5.5985 Å, c = 5.3008 Å
α = 90.00°, β = 90.00°, γ = 90.00°
With the nearest neighbours (Å) after each atom.
Space group P4/mmm (No. 123)
Inequivalent atoms, fractional coordinates:
Zr: 0.0000 0.0000 0.0000 x1  2 Ag 2.65, 4 Tl 2.80
Tl: 0.0000 0.5000 0.0000 x2  2 Zr 2.80
Ag: 0.0000 0.0000 0.5000 x1  2 Zr 2.65
Ge: 0.5000 0.5000 0.5000 x1  8 Tl 3.85, 4 Ag 3.96

## Properties
Total magnetic moment (μB/atom): 0.00
Mass density (Mg/m³): 6.801
Formation enthalpy at 0 K (eV/f.u.): 4.74
Crystal system: tetragonal